A plane-wave DFT calculation with PBE was carried out for a relaxed structure of LiTbNiSn.

Cell lengths 6.5733, 6.5733, 6.5733 Å; angles 90.00, 90.00, 90.00 degrees
Closest atoms and distances in Å follow each position.
Atoms (fractional coordinates):
1 Li 0.0000 0.0000 0.0000  4 Tb 2.85, 4 Sn 2.85
2 Li 0.0000 0.5000 0.5000  4 Tb 2.85, 4 Sn 2.85
3 Li 0.5000 0.0000 0.5000  4 Tb 2.85, 4 Sn 2.85
4 Li 0.5000 0.5000 0.0000  4 Tb 2.85, 4 Sn 2.85
5 Tb 0.2500 0.2500 0.7500  4 Li 2.85, 4 Ni 2.85
6 Tb 0.2500 0.7500 0.2500  4 Li 2.85, 4 Ni 2.85
7 Tb 0.7500 0.2500 0.2500  4 Li 2.85, 4 Ni 2.85
8 Tb 0.7500 0.7500 0.7500  4 Li 2.85, 4 Ni 2.85
9 Ni 0.0000 0.0000 0.5000  4 Tb 2.85, 4 Sn 2.85
10 Ni 0.0000 0.5000 0.0000  4 Tb 2.85, 4 Sn 2.85
11 Ni 0.5000 0.0000 0.0000  4 Tb 2.85, 4 Sn 2.85
12 Ni 0.5000 0.5000 0.5000  4 Tb 2.85, 4 Sn 2.85
13 Sn 0.2500 0.2500 0.2500  4 Li 2.85, 4 Ni 2.85
14 Sn 0.2500 0.7500 0.7500  4 Li 2.85, 4 Ni 2.85
15 Sn 0.7500 0.2500 0.7500  4 Li 2.85, 4 Ni 2.85
16 Sn 0.7500 0.7500 0.2500  4 Li 2.85, 4 Ni 2.85

Summary:
Its formation energy is -0.585 eV per atom. The total magnetization comes out at 0.00 μB/f.u. The crystal system is cubic. For the total energy, the calculation gives -4.67 eV per atom.